Entry from Alexandria: a relaxed BeAg2 crystal (PBE-GGA).

a = 7.5724 Å, b = 7.5724 Å, c = 7.5724 Å
α = 90.00°, β = 90.00°, γ = 90.00°
Closest atoms and distances in Å follow each position.
Space group Fd-3m (No. 227, origin choice 2)
Asymmetric unit:
Be (0.1250, 0.1250, 0.1250) [8 per cell]  12 Ag 3.14, 4 Be 3.28
Ag (0.0000, 0.0000, 0.5000) [16 per cell]  6 Ag 2.68

Properties
total moment	0.00	Bohr magnetons per cell
ΔH_f (0 K)	749	meV per atom



Entry from Alexandria: a relaxed Be2Ag crystal (PBE-GGA).

a = 8.7062 Å, b = 2.8399 Å, c = 5.8778 Å
α = 90.00°, β = 110.22°, γ = 90.00°
Closest atoms and distances in Å follow each position.
Space group C2/m (No. 12)
Asymmetric unit:
Be (0.0208, 0.0000, 0.2183) [4 per cell]  5 Be 2.23-2.46
Be (0.1471, 0.5000, 0.0455) [4 per cell]  7 Be 2.23-2.49, 3 Ag 2.47-2.48
Ag (0.1657, 0.5000, 0.6337) [4 per cell]  8 Be 2.47-2.73

Properties
excess energy over the best structure of this formula in the dataset	0.39	eV per formula unit
total moment	0.00	Bohr magnetons per cell
ΔH_f (0 K)	157	meV per atom



Entry from Alexandria: a relaxed Be2Ag crystal (PBE-GGA).

a = 4.0305 Å, b = 4.0305 Å, c = 2.6574 Å
α = 90.00°, β = 90.00°, γ = 90.00°
Closest atoms and distances in Å follow each position.
Space group P4/mmm (No. 123)
Asymmetric unit:
Be (0.0000, 0.5000, 0.0000) [2 per cell]  4 Ag 2.41, 2 Be 2.66
Ag (0.0000, 0.0000, 0.5000) [1 per cell]  8 Be 2.41, 2 Ag 2.66

Properties
excess energy over the best structure of this formula in the dataset	1.59	eV per formula unit
total moment	0.00	Bohr magnetons per cell
ΔH_f (0 K)	556	meV per atom



Entry from Alexandria: a relaxed BeAg2 crystal (PBE-GGA).

a = 2.8187 Å, b = 2.8187 Å, c = 20.7966 Å
α = 90.00°, β = 90.00°, γ = 120.00°
Closest atoms and distances in Å follow each position.
Space group P-3m1 (No. 164)
Asymmetric unit:
Be (0.0000, 0.0000, 0.0000) [1 per cell]  6 Ag 2.51
Be (0.3333, 0.6667, 0.3417) [2 per cell]  4 Ag 2.33-2.49
Ag (0.0000, 0.0000, 0.4321) [2 per cell]  3 Be 2.49
Ag (0.3333, 0.6667, 0.0920) [2 per cell]  3 Be 2.51
Ag (0.3333, 0.6667, 0.2296) [2 per cell]  1 Be 2.33

Properties
total moment	0.00	Bohr magnetons per cell
ΔH_f (0 K)	359	meV per atom



Entry from Alexandria: a relaxed Be3Ag4 crystal (PBE-GGA).

a = 4.9687 Å, b = 4.9687 Å, c = 4.9687 Å
α = 90.00°, β = 90.00°, γ = 90.00°
Closest atoms and distances in Å follow each position.
Space group P-43m (No. 215)
Asymmetric unit:
Be (0.0000, 0.0000, 0.5000) [3 per cell]  4 Ag 2.31
Ag (0.2959, 0.2959, 0.2959) [4 per cell]  3 Be 2.31

Properties
excess energy over the best structure of this formula in the dataset	4.03	eV per formula unit
total moment	0.00	Bohr magnetons per cell
ΔH_f (0 K)	702	meV per atom



Entry from Alexandria: a relaxed Be5Ag3 crystal (PBE-GGA).

a = 5.7559 Å, b = 8.1944 Å, c = 4.0174 Å
α = 90.00°, β = 90.00°, γ = 90.00°
Closest atoms and distances in Å follow each position.
Space group Cmmm (No. 65)
Asymmetric unit:
Be (0.0000, 0.0000, 0.0000) [2 per cell]  8 Be 2.42-2.50
Be (0.2330, 0.0000, 0.5000) [4 per cell]  6 Ag 2.41-2.60, 3 Be 2.42-2.68
Be (0.2500, 0.2500, 0.0000) [4 per cell]  6 Ag 2.47-2.50, 2 Be 2.50
Ag (0.0000, 0.2442, 0.5000) [4 per cell]  8 Be 2.41-2.60
Ag (0.0000, 0.5000, 0.0000) [2 per cell]  8 Be 2.50-2.53

Properties
excess energy over the best structure of this formula in the dataset	0.28	eV per formula unit
total moment	0.00	Bohr magnetons per cell
ΔH_f (0 K)	213	meV per atom



Entry from Alexandria: a relaxed BeAg2 crystal (PBE-GGA).

a = 2.8720 Å, b = 2.8720 Å, c = 13.0586 Å
α = 90.00°, β = 90.00°, γ = 120.00°
Closest atoms and distances in Å follow each position.
Space group P6_3/mmc (No. 194)
Asymmetric unit:
Be (0.3333, 0.6667, 0.2500) [2 per cell]  6 Ag 2.49
Ag (0.0000, 0.0000, 0.1082) [4 per cell]  3 Be 2.49

Properties
total moment	0.00	Bohr magnetons per cell
ΔH_f (0 K)	267	meV per atom



Entry from Alexandria: a relaxed Be2Ag crystal (PBE-GGA).

a = 3.8872 Å, b = 3.8872 Å, c = 2.6474 Å
α = 90.00°, β = 90.00°, γ = 120.00°
Closest atoms and distances in Å follow each position.
Space group P6/mmm (No. 191)
Asymmetric unit:
Be (0.3333, 0.6667, 0.0000) [2 per cell]  3 Be 2.24
Ag (0.0000, 0.0000, 0.5000) [1 per cell]  12 Be 2.61, 2 Ag 2.65

Properties
excess energy over the best structure of this formula in the dataset	0.70	eV per formula unit
total moment	0.00	Bohr magnetons per cell
ΔH_f (0 K)	260	meV per atom



Entry from Alexandria: a relaxed Be2Ag crystal (PBE-GGA).

a = 2.6838 Å, b = 2.6838 Å, c = 17.5954 Å
α = 90.00°, β = 90.00°, γ = 120.00°
Closest atoms and distances in Å follow each position.
Space group R3m (No. 160, hexagonal axes)
Asymmetric unit:
Be (0.0000, 0.0000, 0.0000) [3 per cell]  3 Be 2.28
Be (0.0000, 0.0000, 0.2380) [3 per cell]  3 Be 2.28
Ag (0.0000, 0.0000, 0.7868) [3 per cell]  6 Be 2.59-2.62, 6 Ag 2.68

Properties
excess energy over the best structure of this formula in the dataset	0.98	eV per formula unit
total moment	0.00	Bohr magnetons per cell
ΔH_f (0 K)	354	meV per atom



Entry from Alexandria: a relaxed Be2Ag3 crystal (PBE-GGA).

a = 2.8457 Å, b = 2.8457 Å, c = 30.9671 Å
α = 90.00°, β = 90.00°, γ = 120.00°
Closest atoms and distances in Å follow each position.
Space group R-3m (No. 166, hexagonal axes)
Asymmetric unit:
Be (0.0000, 0.0000, 0.1023) [6 per cell]  6 Ag 2.51-2.58
Ag (0.0000, 0.0000, 0.2925) [6 per cell]  3 Be 2.51
Ag (0.0000, 0.0000, 0.5000) [3 per cell]  6 Be 2.58, 6 Ag 2.85

Properties
excess energy over the best structure of this formula in the dataset	0.21	eV per formula unit
total moment	0.00	Bohr magnetons per cell
ΔH_f (0 K)	274	meV per atom



Entry from Alexandria: a relaxed Be3Ag2 crystal (PBE-GGA).

a = 8.2554 Å, b = 12.0456 Å, c = 4.7911 Å
α = 90.00°, β = 90.00°, γ = 90.00°
Closest atoms and distances in Å follow each position.
Space group Fdd2 (No. 43)
Asymmetric unit:
Be (0.0000, 0.0000, 0.0000) [8 per cell]  4 Be 2.24-2.27
Be (0.0691, 0.3859, 0.1498) [16 per cell]  4 Be 2.24-2.40, 3 Ag 2.49-2.51
Ag (0.0688, 0.3028, 0.6525) [16 per cell]  9 Be 2.49-2.75

Properties
excess energy over the best structure of this formula in the dataset	0.00	eV per formula unit
total moment	0.00	Bohr magnetons per cell
ΔH_f (0 K)	167	meV per atom



Entry from Alexandria: a relaxed BeAg2 crystal (PBE-GGA).

a = 4.1300 Å, b = 4.1300 Å, c = 2.8442 Å
α = 90.00°, β = 90.00°, γ = 90.00°
Closest atoms and distances in Å follow each position.
Space group P4/mmm (No. 123)
Asymmetric unit:
Be (0.0000, 0.0000, 0.0000) [1 per cell]  8 Ag 2.51
Ag (0.0000, 0.5000, 0.5000) [2 per cell]  4 Be 2.51

Properties
total moment	0.00	Bohr magnetons per cell
ΔH_f (0 K)	257	meV per atom



Entry from Alexandria: a relaxed Be5Ag3 crystal (PBE-GGA).

a = 7.3763 Å, b = 7.3763 Å, c = 4.2011 Å
α = 90.00°, β = 90.00°, γ = 120.00°
Closest atoms and distances in Å follow each position.
Space group P6_3/mcm (No. 193)
Asymmetric unit:
Be (0.0000, 0.1823, 0.2500) [6 per cell]  6 Be 2.33-2.49, 4 Ag 2.41-2.54
Be (0.3333, 0.6667, 0.0000) [4 per cell]  2 Be 2.10
Ag (0.0000, 0.3770, 0.7500) [6 per cell]  8 Be 2.41-2.54

Properties
excess energy over the best structure of this formula in the dataset	1.10	eV per formula unit
total moment	0.00	Bohr magnetons per cell
ΔH_f (0 K)	316	meV per atom



Entry from Alexandria: a relaxed Be4Ag3 crystal (PBE-GGA).

a = 4.6405 Å, b = 4.6405 Å, c = 4.6405 Å
α = 90.00°, β = 90.00°, γ = 90.00°
Closest atoms and distances in Å follow each position.
Space group P-43m (No. 215)
Asymmetric unit:
Be (0.1602, 0.1602, 0.8398) [4 per cell]  3 Be 2.10, 3 Ag 2.35
Ag (0.0000, 0.5000, 0.5000) [3 per cell]  4 Be 2.35

Properties
excess energy over the best structure of this formula in the dataset	3.06	eV per formula unit
total moment	0.00	Bohr magnetons per cell
ΔH_f (0 K)	582	meV per atom



Entry from Alexandria: a relaxed Be6Ag7 crystal (PBE-GGA).

a = 5.4168 Å, b = 5.4168 Å, c = 24.4286 Å
α = 90.00°, β = 90.00°, γ = 120.00°
Closest atoms and distances in Å follow each position.
Space group R-3m (No. 166, hexagonal axes)
Asymmetric unit:
Be (0.0000, 0.0000, 0.0714) [6 per cell]  1 Be 2.34
Be (0.0000, 0.0000, 0.1673) [6 per cell]  1 Be 2.34
Be (0.0000, 0.0000, 0.3340) [6 per cell]  6 Ag 2.42
Ag (0.0000, 0.0000, 0.5000) [3 per cell]  6 Ag 2.73
Ag (0.0039, 0.5020, 0.9243) [18 per cell]  5 Be 2.42-2.71, 2 Ag 2.68

Properties
total moment	0.00	Bohr magnetons per cell
ΔH_f (0 K)	569	meV per atom



Entry from Alexandria: a relaxed BeAg5 crystal (PBE-GGA).

a = 7.6647 Å, b = 7.6647 Å, c = 7.6647 Å
α = 90.00°, β = 90.00°, γ = 90.00°
Closest atoms and distances in Å follow each position.
Space group F-43m (No. 216)
Asymmetric unit:
Be (0.0000, 0.0000, 0.0000) [4 per cell]  16 Ag 3.18-3.32
Ag (0.1252, 0.1252, 0.3748) [16 per cell]  6 Ag 2.71
Ag (0.2500, 0.2500, 0.7500) [4 per cell]  12 Ag 3.18, 4 Be 3.32

Properties
excess energy over the best structure of this formula in the dataset	2.44	eV per formula unit
total moment	0.00	Bohr magnetons per cell
ΔH_f (0 K)	478	meV per atom



Entry from Alexandria: a relaxed Be2Ag crystal (PBE-GGA).

a = 8.3303 Å, b = 2.9970 Å, c = 5.8384 Å
α = 90.00°, β = 108.18°, γ = 90.00°
Closest atoms and distances in Å follow each position.
Space group C2/m (No. 12)
Asymmetric unit:
Be (0.0000, 0.0000, 0.0000) [2 per cell]  6 Ag 2.51-2.72, 4 Be 2.58
Be (0.0000, 0.0000, 0.5000) [2 per cell]  4 Be 2.35, 4 Ag 2.37
Be (0.1643, 0.5000, 0.3568) [4 per cell]  6 Be 2.35-2.58, 4 Ag 2.48-2.60
Ag (0.1577, 0.5000, 0.7998) [4 per cell]  8 Be 2.37-2.60

Properties
excess energy over the best structure of this formula in the dataset	0.59	eV per formula unit
total moment	0.00	Bohr magnetons per cell
ΔH_f (0 K)	221	meV per atom



Entry from Alexandria: a relaxed Be2Ag crystal (PBE-GGA).

a = 6.4131 Å, b = 6.4131 Å, c = 6.4131 Å
α = 90.00°, β = 90.00°, γ = 90.00°
Closest atoms and distances in Å follow each position.
Space group Fd-3m (No. 227, origin choice 2)
Asymmetric unit:
Be (0.0000, 0.0000, 0.0000) [16 per cell]  6 Be 2.27
Ag (0.1250, 0.1250, 0.6250) [8 per cell]  12 Be 2.66, 4 Ag 2.78

Properties
excess energy over the best structure of this formula in the dataset	0.00	eV per formula unit
total moment	0.00	Bohr magnetons per cell
ΔH_f (0 K)	26	meV per atom



Entry from Alexandria: a relaxed Be6Ag crystal (PBE-GGA).

a = 5.7496 Å, b = 5.7496 Å, c = 5.7496 Å
α = 90.00°, β = 90.00°, γ = 90.00°
Closest atoms and distances in Å follow each position.
Space group Im-3m (No. 229)
Asymmetric unit:
Be (0.0000, 0.2500, 0.5000) [12 per cell]  4 Be 2.03
Ag (0.0000, 0.0000, 0.0000) [2 per cell]  24 Be 3.21

Properties
excess energy over the best structure of this formula in the dataset	7.79	eV per formula unit
total moment	0.00	Bohr magnetons per cell
ΔH_f (0 K)	1248	meV per atom



Entry from Alexandria: a relaxed BeAg2 crystal (PBE-GGA).

a = 2.8414 Å, b = 2.8414 Å, c = 22.5898 Å
α = 90.00°, β = 90.00°, γ = 90.00°
Closest atoms and distances in Å follow each position.
Space group I4_1/amd (No. 141, origin choice 2)
Asymmetric unit:
Be (0.0000, 0.2500, 0.3750) [4 per cell]  8 Ag 2.54
Ag (0.0000, 0.2500, 0.8065) [8 per cell]  4 Be 2.54

Properties
total moment	0.00	Bohr magnetons per cell
ΔH_f (0 K)	199	meV per atom



Entry from Alexandria: a relaxed Be2Ag crystal (PBE-GGA).

a = 2.8810 Å, b = 2.8810 Å, c = 8.1502 Å
α = 90.00°, β = 90.00°, γ = 90.00°
Closest atoms and distances in Å follow each position.
Space group I4/mmm (No. 139)
Asymmetric unit:
Be (0.0000, 0.0000, 0.1853) [4 per cell]  4 Be 2.29, 5 Ag 2.54-2.56
Ag (0.0000, 0.0000, 0.5000) [2 per cell]  10 Be 2.54-2.56

Properties
excess energy over the best structure of this formula in the dataset	0.43	eV per formula unit
total moment	0.00	Bohr magnetons per cell
ΔH_f (0 K)	170	meV per atom



Entry from Alexandria: a relaxed BeAg2 crystal (PBE-GGA).

a = 2.8733 Å, b = 2.8733 Å, c = 6.5260 Å
α = 90.00°, β = 90.00°, γ = 120.00°
Closest atoms and distances in Å follow each position.
Space group P-6m2 (No. 187)
Asymmetric unit:
Be (0.0000, 0.0000, 0.0000) [1 per cell]  6 Ag 2.49
Ag (0.6667, 0.3333, 0.2836) [2 per cell]  3 Be 2.49

Properties
total moment	0.00	Bohr magnetons per cell
ΔH_f (0 K)	267	meV per atom



Entry from Alexandria: a relaxed Be2Ag crystal (PBE-GGA).

a = 4.8594 Å, b = 3.9881 Å, c = 7.1021 Å
α = 90.00°, β = 90.00°, γ = 90.00°
Closest atoms and distances in Å follow each position.
Space group Pnma (No. 62)
Asymmetric unit:
Be (0.0250, 0.2500, 0.2398) [4 per cell]  5 Be 2.39-2.51, 5 Ag 2.58-2.65
Be (0.1837, 0.2500, 0.9219) [4 per cell]  5 Ag 2.37-2.49, 3 Be 2.39-2.51
Ag (0.1954, 0.2500, 0.5862) [4 per cell]  10 Be 2.37-2.65

Properties
excess energy over the best structure of this formula in the dataset	0.60	eV per formula unit
total moment	0.00	Bohr magnetons per cell
ΔH_f (0 K)	225	meV per atom



Entry from Alexandria: a relaxed Be2Ag crystal (PBE-GGA).

a = 2.7055 Å, b = 2.7055 Å, c = 6.2235 Å
α = 90.00°, β = 90.00°, γ = 120.00°
Closest atoms and distances in Å follow each position.
Space group P-6m2 (No. 187)
Asymmetric unit:
Be (0.0000, 0.0000, 0.1761) [2 per cell]  1 Be 2.19
Ag (0.3333, 0.6667, 0.5000) [1 per cell]  6 Be 2.55, 6 Ag 2.71

Properties
excess energy over the best structure of this formula in the dataset	1.78	eV per formula unit
total moment	0.00	Bohr magnetons per cell
ΔH_f (0 K)	617	meV per atom



Entry from Alexandria: a relaxed Be5Ag3 crystal (PBE-GGA).

a = 2.8754 Å, b = 2.8754 Å, c = 11.3370 Å
α = 90.00°, β = 90.00°, γ = 90.00°
Closest atoms and distances in Å follow each position.
Space group P4/mmm (No. 123)
Asymmetric unit:
Be (0.0000, 0.0000, 0.0000) [1 per cell]  8 Ag 2.55
Be (0.0000, 0.0000, 0.2661) [2 per cell]  4 Be 2.33, 4 Ag 2.52
Be (0.5000, 0.5000, 0.3662) [2 per cell]  4 Be 2.33, 4 Ag 2.54
Ag (0.0000, 0.0000, 0.5000) [1 per cell]  10 Be 2.54-2.65
Ag (0.5000, 0.5000, 0.1352) [2 per cell]  9 Be 2.52-2.62

Properties
excess energy over the best structure of this formula in the dataset	0.00	eV per formula unit
total moment	0.00	Bohr magnetons per cell
ΔH_f (0 K)	179	meV per atom



Entry from Alexandria: a relaxed BeAg5 crystal (PBE-GGA).

a = 4.9982 Å, b = 4.9982 Å, c = 4.5936 Å
α = 90.00°, β = 90.00°, γ = 120.00°
Closest atoms and distances in Å follow each position.
Space group P-62m (No. 189)
Asymmetric unit:
Be (0.0000, 0.0000, 0.0000) [1 per cell]  12 Ag 2.80-2.89
Ag (0.0000, 0.6798, 0.5000) [3 per cell]  10 Ag 2.77-2.94, 2 Be 2.80
Ag (0.3333, 0.6667, 0.0000) [2 per cell]  9 Ag 2.86-2.89, 3 Be 2.89

Properties
excess energy over the best structure of this formula in the dataset	0.61	eV per formula unit
total moment	0.00	Bohr magnetons per cell
ΔH_f (0 K)	173	meV per atom



Entry from Alexandria: a relaxed BeAg2 crystal (PBE-GGA).

a = 2.9100 Å, b = 2.9100 Å, c = 18.4195 Å
α = 90.00°, β = 90.00°, γ = 120.00°
Closest atoms and distances in Å follow each position.
Space group R3m (No. 160, hexagonal axes)
Asymmetric unit:
Be (0.0000, 0.0000, 0.0000) [3 per cell]  6 Ag 2.48-2.49
Ag (0.0000, 0.0000, 0.2342) [3 per cell]  3 Be 2.48
Ag (0.0000, 0.0000, 0.4329) [3 per cell]  3 Be 2.49

Properties
total moment	0.00	Bohr magnetons per cell
ΔH_f (0 K)	190	meV per atom